LuHfSn: optimized geometry, PBE-GGA.

Lattice parameters (Å, degrees): 6.8767 6.8767 6.8767 90.00 90.00 90.00
Last column: nearest neighbours and their distance in Å.
Space group F-43m (No. 216)
Asymmetric unit:
Lu  0.0000  0.0000  0.0000 (multiplicity 4)  4 Sn 2.98
Hf  0.0000  0.0000  0.5000 (multiplicity 4)  4 Sn 2.98
Sn  0.2500  0.2500  0.7500 (multiplicity 4)  4 Hf 2.98, 4 Lu 2.98

## Properties
M_tot: 1.310 Bohr magnetons per cell
crystal system: cubic
volume: 325 Å³/cell
uncorrected energy: -73.78 eV per cell

HoErAl4Cu2: optimized geometry, PBE-GGA.

Lattice parameters (Å, degrees): 6.7816 4.2000 10.0452 90.00 90.00 90.00
Last column: nearest neighbours and their distance in Å.
Space group Amm2 (No. 38)
Asymmetric unit:
Ho  0.0000  0.0000  0.0000 (multiplicity 2)  3 Cu 2.84-3.03, 4 Al 3.02
Er  0.5000  0.0000  0.8588 (multiplicity 2)  3 Cu 2.84-3.03, 4 Al 3.02
Al  0.1973  0.0000  0.2895 (multiplicity 4)  3 Cu 2.54-2.59, 1 Al 2.68
Al  0.3031  0.0000  0.5694 (multiplicity 4)  3 Cu 2.54-2.59, 1 Al 2.67
Cu  0.0000  0.0000  0.7172 (multiplicity 2)  6 Al 2.54-2.59
Cu  0.5000  0.0000  0.1414 (multiplicity 2)  6 Al 2.54-2.59, 1 Er 2.84

## Properties
M_tot: 0.011 Bohr magnetons per cell
crystal system: orthorhombic
volume: 286 Å³/cell
uncorrected energy: -70.21 eV per cell

Which of these has the highest uncorrected energy? HoErAl4Cu2

What is the uncorrected energy in the second record? -70.21 eV per cell

Which value of M_tot does entry 1 give? 1.310 Bohr magnetons per cell

M_tot of number 2 (HoErAl4Cu2)? 0.011 Bohr magnetons per cell